! Sn3PtPb PBE relaxed; values from VASP
! Space group: Pm-3m (221)
! ρ: 8.49 g/cm³
! Excess energy over the best structure of this formula in the dataset: 0.000 eV per atom
! DFT formation energy: 0.274 eV per formula unit
&SYSTEM
  ibrav = 0, nat = 5, ntyp = 3
/
ATOMIC_SPECIES
Sn 118.71 Sn.upf
Pt 195.08 Pt.upf
Pb 207.20 Pb.upf
CELL_PARAMETERS angstrom
5.2926 0.0000 0.0000
0.0000 5.2926 0.0000
0.0000 0.0000 5.2926
ATOMIC_POSITIONS crystal
Sn 0.0000 0.0000 0.5000
Sn 0.0000 0.5000 0.0000
Sn 0.5000 0.0000 0.0000
Pt 0.0000 0.0000 0.0000
Pb 0.5000 0.5000 0.5000